[1]
An optimized crystal structure of Mg2ZrMn, computed with PBE-GGA.

Computed properties:
Energy of formation from the pure elements in meV per atom: 236
Fermi-level density of states in states/eV per cell: 4.48
Total magnetization in μB/f.u.: 3.9

Unit cell a=10.297 b=10.297 c=10.297 alpha=17.02 beta=17.02 gamma=17.02
Sites, in units of the cell vectors:
Mg 0.244 0.244 0.244
Mg 0.756 0.756 0.756
Zr 0.000 0.000 0.000
Mn 0.500 0.500 0.500

=====

[2]
An optimized crystal structure of MgUTiO6, computed with PBE-GGA.

Computed properties:
Fermi-level density of states in states/eV per cell: 0.00
Total magnetization in μB/f.u.: 0.0
Uncorrected formation energy in eV/atom: -2.93

Unit cell a=5.366 b=5.366 c=8.967 alpha=90.00 beta=90.00 gamma=120.00
Sites, in units of the cell vectors:
Mg 0.000 0.000 0.000
Mg 0.000 0.000 0.500
U 0.333 0.667 0.250
U 0.667 0.333 0.750
Ti 0.333 0.667 0.750
Ti 0.667 0.333 0.250
O 0.015 0.356 0.634
O 0.015 0.659 0.866
O 0.341 0.356 0.866
O 0.341 0.985 0.634
O 0.356 0.015 0.134
O 0.356 0.341 0.366
O 0.644 0.659 0.634
O 0.644 0.985 0.866
O 0.659 0.015 0.366
O 0.659 0.644 0.134
O 0.985 0.341 0.134
O 0.985 0.644 0.366

=====

[3]
An optimized crystal structure of CrCd2Sb, computed with PBE-GGA.

Computed properties:
Fermi-level density of states in states/eV per cell: 1.83
Total magnetization in μB/f.u.: 4.0
Uncorrected formation energy in eV/atom: 0.27

Unit cell a=6.357 b=6.357 c=3.230 alpha=103.86 beta=103.86 gamma=126.02
Sites, in units of the cell vectors:
Cr 0.000 0.000 0.000
Cd 0.000 0.500 0.000
Cd 0.500 0.000 0.000
Sb 0.500 0.500 0.000

=====

[4]
An optimized crystal structure of Th2TiAl3Pt4, computed with PBE-GGA.

Computed properties:
Energy of formation from the pure elements in meV per atom: -1060
Fermi-level density of states in states/eV per cell: 9.06
Total magnetization in μB/f.u.: 0.0

Unit cell a=4.335 b=4.335 c=10.333 alpha=90.00 beta=90.00 gamma=90.00
Sites, in units of the cell vectors:
Th 0.000 0.500 0.247
Th 0.500 0.000 0.753
Ti 0.000 0.000 0.500
Al 0.000 0.500 0.874
Al 0.500 0.000 0.126
Al 0.500 0.500 0.500
Pt 0.000 0.000 0.000
Pt 0.000 0.500 0.636
Pt 0.500 0.000 0.364
Pt 0.500 0.500 0.000

=====

[5]
An optimized crystal structure of Al2Pd7Au2, computed with PBE-GGA.

Computed properties:
Energy of formation from the pure elements in meV per atom: -343
Fermi-level density of states in states/eV per cell: 4.52
Total magnetization in μB/f.u.: 0.0

Unit cell a=6.029 b=6.029 c=5.265 alpha=102.80 beta=102.80 gamma=99.52
Sites, in units of the cell vectors:
Al 0.224 0.776 0.000
Al 0.776 0.224 0.000
Pd 0.078 0.575 0.305
Pd 0.096 0.096 0.318
Pd 0.425 0.922 0.695
Pd 0.500 0.500 0.500
Pd 0.575 0.078 0.305
Pd 0.904 0.904 0.682
Pd 0.922 0.425 0.695
Au 0.307 0.307 0.948
Au 0.693 0.693 0.052

=====

[6]
An optimized crystal structure of Sc2AlV, computed with PBE-GGA.

Computed properties:
Energy of formation from the pure elements in meV per atom: 364
Fermi-level density of states in states/eV per cell: 6.01
Total magnetization in μB/f.u.: 0.4

Unit cell a=10.410 b=10.410 c=10.410 alpha=16.75 beta=16.75 gamma=16.75
Sites, in units of the cell vectors:
Sc 0.093 0.093 0.093
Sc 0.907 0.907 0.907
Al 0.000 0.000 0.000
V 0.500 0.500 0.500

=====

[7]
An optimized crystal structure of K2Mg2I7, computed with PBE-GGA.

Computed properties:
Fermi-level density of states in states/eV per cell: 9.08
Total magnetization in μB/f.u.: 0.9
Uncorrected formation energy in eV/atom: -1.00

Unit cell a=8.810 b=8.810 c=7.233 alpha=95.15 beta=95.15 gamma=95.55
Sites, in units of the cell vectors:
K 0.225 0.775 0.000
K 0.775 0.225 0.000
Mg 0.268 0.268 0.541
Mg 0.732 0.732 0.459
I 0.060 0.414 0.733
I 0.149 0.149 0.194
I 0.414 0.060 0.733
I 0.500 0.500 0.500
I 0.586 0.940 0.267
I 0.851 0.851 0.806
I 0.940 0.586 0.267

=====

[8]
An optimized crystal structure of RbAsIr2, computed with PBE-GGA.

Computed properties:
Energy of formation from the pure elements in meV per atom: 370
Fermi-level density of states in states/eV per cell: 7.89
Total magnetization in μB/f.u.: 0.0

Unit cell a=9.011 b=9.011 c=9.011 alpha=146.91 beta=146.91 gamma=47.50
Sites, in units of the cell vectors:
Rb 0.375 0.625 0.750
Rb 0.625 0.375 0.250
As 0.125 0.875 0.250
As 0.875 0.125 0.750
Ir 0.000 0.000 0.000
Ir 0.000 0.000 0.500
Ir 0.000 0.500 0.000
Ir 0.500 0.000 0.500

=====

[9]
An optimized crystal structure of Li2TlSb, computed with PBE-GGA.

Computed properties:
Fermi-level density of states in states/eV per cell: 1.53
Total magnetization in μB/f.u.: 0.0
Uncorrected formation energy in eV/atom: -0.11

Unit cell a=3.357 b=3.357 c=8.247 alpha=90.00 beta=90.00 gamma=90.00
Sites, in units of the cell vectors:
Li 0.000 0.000 0.000
Li 0.500 0.500 0.217
Tl 0.500 0.500 0.754
Sb 0.000 0.000 0.417

=====

[10]
An optimized crystal structure of KIrOs2, computed with PBE-GGA.

Computed properties:
Energy of formation from the pure elements in meV per atom: 863
Offset from the most stable computed form in meV per atom: 177
Fermi-level density of states in states/eV per cell: 3.11
Total magnetization in μB/f.u.: 0.0

Unit cell a=4.647 b=4.647 c=7.069 alpha=95.63 beta=95.63 gamma=34.23
Sites, in units of the cell vectors:
K 0.000 0.000 0.000
Ir 0.770 0.770 0.337
Os 0.228 0.228 0.635
Os 0.493 0.493 0.515

=====

[11]
An optimized crystal structure of MgGaPd2, computed with PBE-GGA.

Computed properties:
Energy of formation from the pure elements in meV per atom: -406
Fermi-level density of states in states/eV per cell: 2.85
Total magnetization in μB/f.u.: 0.0

Unit cell a=5.690 b=5.690 c=5.690 alpha=104.56 beta=104.56 gamma=119.83
Sites, in units of the cell vectors:
Mg 0.000 0.000 0.000
Mg 0.750 0.250 0.500
Ga 0.250 0.750 0.500
Ga 0.500 0.500 0.000
Pd 0.149 0.125 0.524
Pd 0.375 0.851 0.976
Pd 0.601 0.625 0.476
Pd 0.875 0.399 0.024

=====

[12]
An optimized crystal structure of CrPb, computed with PBE-GGA.

Computed properties:
Energy of formation from the pure elements in meV per atom: 570
Fermi-level density of states in states/eV per cell: 3.26
Total magnetization in μB/f.u.: 0.0

Unit cell a=7.211 b=7.211 c=7.211 alpha=30.86 beta=30.86 gamma=30.86
Sites, in units of the cell vectors:
Cr 0.166 0.166 0.166
Cr 0.834 0.834 0.834
Pb 0.401 0.401 0.401
Pb 0.599 0.599 0.599

=====

[13]
An optimized crystal structure of Tm8Sc2Al, computed with PBE-GGA.

Computed properties:
Energy of formation from the pure elements in meV per atom: -37
Fermi-level density of states in states/eV per cell: 14.60
Total magnetization in μB/f.u.: 0.0

Unit cell a=9.650 b=9.650 c=6.214 alpha=93.87 beta=93.87 gamma=32.02
Sites, in units of the cell vectors:
Tm 0.044 0.044 0.255
Tm 0.156 0.156 0.804
Tm 0.339 0.339 0.877
Tm 0.420 0.420 0.401
Tm 0.580 0.580 0.599
Tm 0.661 0.661 0.123
Tm 0.844 0.844 0.196
Tm 0.956 0.956 0.745
Sc 0.242 0.242 0.338
Sc 0.758 0.758 0.662
Al 0.500 0.500 0.000

=====

[14]
An optimized crystal structure of V2Re2B, computed with PBE-GGA.

Computed properties:
Energy of formation from the pure elements in meV per atom: 149
Offset from the most stable computed form in meV per atom: 0
Fermi-level density of states in states/eV per cell: 11.90
Total magnetization in μB/f.u.: 0.0

Unit cell a=5.663 b=5.663 c=4.308 alpha=90.00 beta=90.00 gamma=90.00
Sites, in units of the cell vectors:
V 0.173 0.327 0.000
V 0.327 0.827 0.000
V 0.673 0.173 0.000
V 0.827 0.673 0.000
Re 0.161 0.661 0.500
Re 0.339 0.161 0.500
Re 0.661 0.839 0.500
Re 0.839 0.339 0.500
B 0.000 0.000 0.500
B 0.500 0.500 0.500

=====

[15]
An optimized crystal structure of CaLaSCl2, computed with PBE-GGA.

Computed properties:
Offset from the most stable computed form in meV per atom: 0
Fermi-level density of states in states/eV per cell: 6.47
Total magnetization in μB/f.u.: 0.8
Uncorrected formation energy in eV/atom: -1.61

Unit cell a=5.085 b=5.085 c=5.419 alpha=90.00 beta=90.00 gamma=90.00
Sites, in units of the cell vectors:
Ca 0.000 0.000 0.000
La 0.500 0.500 0.500
S 0.000 0.000 0.500
Cl 0.000 0.500 0.000
Cl 0.500 0.000 0.000

=====

[16]
An optimized crystal structure of RbUS2, computed with PBE-GGA.

Computed properties:
Fermi-level density of states in states/eV per cell: 3.90
Total magnetization in μB/f.u.: 3.0
Uncorrected formation energy in eV/atom: -1.33

Unit cell a=8.241 b=8.241 c=8.241 alpha=28.37 beta=28.37 gamma=28.37
Sites, in units of the cell vectors:
Rb 0.000 0.000 0.000
U 0.830 0.830 0.830
S 0.228 0.228 0.228
S 0.432 0.432 0.432

=====

[17]
An optimized crystal structure of CsThCu2I8, computed with PBE-GGA.

Computed properties:
Fermi-level density of states in states/eV per cell: 2.83
Total magnetization in μB/f.u.: 0.9
Uncorrected formation energy in eV/atom: -0.78

Unit cell a=7.458 b=7.458 c=11.277 alpha=104.02 beta=104.02 gamma=68.58
Sites, in units of the cell vectors:
Cs 0.000 0.000 0.000
Th 0.000 0.000 0.500
Cu 0.403 0.403 0.708
Cu 0.597 0.597 0.292
I 0.205 0.698 0.292
I 0.249 0.249 0.497
I 0.302 0.795 0.708
I 0.362 0.362 0.913
I 0.638 0.638 0.087
I 0.698 0.205 0.292
I 0.751 0.751 0.503
I 0.795 0.302 0.708

=====

[18]
An optimized crystal structure of Cd2IrRh, computed with PBE-GGA.

Computed properties:
Energy of formation from the pure elements in meV per atom: 177
Fermi-level density of states in states/eV per cell: 5.00
Total magnetization in μB/f.u.: 0.0

Unit cell a=4.944 b=4.944 c=4.944 alpha=130.70 beta=130.70 gamma=72.29
Sites, in units of the cell vectors:
Cd 0.000 0.000 0.000
Cd 0.750 0.250 0.500
Ir 0.250 0.750 0.500
Rh 0.500 0.500 0.000

=====

[19]
An optimized crystal structure of DyUTl, computed with PBE-GGA.

Computed properties:
Energy of formation from the pure elements in meV per atom: 110
Fermi-level density of states in states/eV per cell: 9.22
Total magnetization in μB/f.u.: 1.7

Unit cell a=9.854 b=9.854 c=4.867 alpha=90.00 beta=90.00 gamma=160.47
Sites, in units of the cell vectors:
Dy 0.125 0.875 0.750
Dy 0.875 0.125 0.250
U 0.474 0.526 0.750
U 0.526 0.474 0.250
Tl 0.297 0.703 0.750
Tl 0.703 0.297 0.250

=====

[20]
An optimized crystal structure of In2SnSb2Se, computed with PBE-GGA.

Computed properties:
Total magnetization in μB/f.u.: 0.0
Uncorrected formation energy in eV/atom: -0.14

Unit cell a=7.950 b=7.950 c=7.586 alpha=90.00 beta=90.00 gamma=67.12
Sites, in units of the cell vectors:
In 0.020 0.324 0.000
In 0.324 0.020 0.500
In 0.676 0.980 0.000
In 0.980 0.676 0.500
Sn 0.348 0.652 0.018
Sn 0.652 0.348 0.518
Sb 0.010 0.324 0.378
Sb 0.324 0.010 0.878
Sb 0.676 0.990 0.378
Sb 0.990 0.676 0.878
Se 0.274 0.726 0.377
Se 0.726 0.274 0.877

=====

[21]
An optimized crystal structure of PbW, computed with PBE-GGA.

Computed properties:
Energy of formation from the pure elements in meV per atom: 584
Offset from the most stable computed form in meV per atom: 90
Fermi-level density of states in states/eV per cell: 2.00
Total magnetization in μB/f.u.: 0.0

Unit cell a=11.038 b=11.038 c=11.038 alpha=16.75 beta=16.75 gamma=16.75
Sites, in units of the cell vectors:
Pb 0.109 0.109 0.109
Pb 0.891 0.891 0.891
W 0.360 0.360 0.360
W 0.640 0.640 0.640

=====

[22]
An optimized crystal structure of RbIN2O, computed with PBE-GGA.

Computed properties:
Fermi-level density of states in states/eV per cell: 3.89
Total magnetization in μB/f.u.: 8.1
Uncorrected formation energy in eV/atom: 2.19

Unit cell a=5.939 b=5.939 c=6.833 alpha=90.00 beta=90.00 gamma=90.00
Sites, in units of the cell vectors:
Rb 0.000 0.000 0.000
I 0.000 0.000 0.500
N 0.000 0.500 0.000
N 0.500 0.000 0.000
O 0.500 0.500 0.500

=====

[23]
An optimized crystal structure of Li2CuSiPt, computed with PBE-GGA.

Computed properties:
Fermi-level density of states in states/eV per cell: 2.58
Total magnetization in μB/f.u.: 0.0
Uncorrected formation energy in eV/atom: 0.45

Unit cell a=4.469 b=4.469 c=4.807 alpha=90.00 beta=90.00 gamma=90.00
Sites, in units of the cell vectors:
Li 0.000 0.500 0.000
Li 0.500 0.000 0.000
Cu 0.000 0.000 0.500
Si 0.500 0.500 0.500
Pt 0.000 0.000 0.000

=====

[24]
An optimized crystal structure of NdHo3Os, computed with PBE-GGA.

Computed properties:
Energy of formation from the pure elements in meV per atom: -15
Offset from the most stable computed form in meV per atom: 83
Fermi-level density of states in states/eV per cell: 7.55
Total magnetization in μB/f.u.: 0.0

Unit cell a=5.424 b=5.424 c=5.424 alpha=90.00 beta=90.00 gamma=90.00
Sites, in units of the cell vectors:
Nd 0.000 0.000 0.000
Ho 0.000 0.500 0.500
Ho 0.500 0.000 0.500
Ho 0.500 0.500 0.000
Os 0.500 0.500 0.500

=====

[25]
An optimized crystal structure of Tm2Mg3Sc2, computed with PBE-GGA.

Computed properties:
Energy of formation from the pure elements in meV per atom: 41
Offset from the most stable computed form in meV per atom: 33
Fermi-level density of states in states/eV per cell: 8.89
Total magnetization in μB/f.u.: 0.0

Unit cell a=3.367 b=7.675 c=8.187 alpha=62.49 beta=78.52 gamma=77.84
Sites, in units of the cell vectors:
Tm 0.143 0.049 0.176
Tm 0.857 0.951 0.824
Mg 0.174 0.377 0.725
Mg 0.500 0.500 0.000
Mg 0.826 0.623 0.275
Sc 0.445 0.220 0.433
Sc 0.555 0.780 0.567

=====

[26]
An optimized crystal structure of TlReBr2, computed with PBE-GGA.

Computed properties:
Offset from the most stable computed form in meV per atom: 631
Fermi-level density of states in states/eV per cell: 1.75
Total magnetization in μB/f.u.: 4.6
Uncorrected formation energy in eV/atom: 0.95

Unit cell a=5.667 b=5.667 c=3.414 alpha=90.00 beta=90.00 gamma=90.00
Sites, in units of the cell vectors:
Tl 0.000 0.000 0.000
Re 0.500 0.500 0.000
Br 0.000 0.500 0.500
Br 0.500 0.000 0.500